First-principles (PBE) data for an optimized crystal structure of LiPm2PrIn4, as listed in Alexandria.

Output
Raw total energy (eV per cell): -30.6
Symmetry: R-3m (166)
Size of the total moment (μB per cell): 0.00

extended XYZ file:
```
8
Lattice="-4.049 -2.173 2.677 -3.524 -3.069 -2.539 2.510 -8.973 1.794" Properties=species:S:1:pos:R:3 pbc="T T T"
In 0.599 -6.229 1.130
In -4.383 -4.449 0.323
In -5.661 -7.986 0.802
In -0.679 -9.766 1.609
Li -2.531 -7.108 0.966
Pr 0.000 0.000 0.000
Pm -1.179 -3.678 0.513
Pm -3.883 -10.538 1.419
```

=====

First-principles (PBE) data for an optimized crystal structure of KCuCl, as listed in Alexandria.

Output
Symmetry: Fmm2 (42)
Distance to the lowest polymorph of the same formula (kJ/mol of atoms): 5.7
Formation energy from raw total energies (meV/atom): -281
Size of the total moment (μB per cell): 0.00

extended XYZ file:
```
3
Lattice="6.921 -0.292 0.250 5.575 3.299 -0.074 1.346 -0.871 3.499" Properties=species:S:1:pos:R:3 pbc="T T T"
Cu 5.483 0.568 2.267
Cl 12.177 2.897 0.272
K 8.677 1.679 1.315
```

=====

First-principles (PBE) data for an optimized crystal structure of FeIrS2, as listed in Alexandria.

Output
Symmetry: I-42d (122)
Distance to the lowest polymorph of the same formula (kJ/mol of atoms): 0.4
Formation energy from raw total energies (meV/atom): -112
Size of the total moment (μB per cell): 3.05

extended XYZ file:
```
8
Lattice="-3.331 3.936 -0.141 -2.494 -1.965 4.065 0.105 3.652 5.101" Properties=species:S:1:pos:R:3 pbc="T T T"
S -2.306 3.055 1.698
S -2.010 0.249 3.796
S -2.151 3.442 5.372
S -4.972 4.499 7.185
Ir -3.069 4.286 3.461
Ir 0.000 0.000 0.000
Fe -2.651 1.336 5.564
Fe -2.912 0.985 1.962
```

=====

First-principles (PBE) data for an optimized crystal structure of Ga2Ni8Ge, as listed in Alexandria.

Output
Symmetry: C2/m (12)
Distance to the lowest polymorph of the same formula (kJ/mol of atoms): 9.7
Size of the total moment (μB per cell): 0.00

extended XYZ file:
```
11
Lattice="4.130 0.947 0.000 1.588 6.200 0.000 0.794 3.100 5.586" Properties=species:S:1:pos:R:3 pbc="T T T"
Ni 1.790 5.001 1.227
Ni 2.584 8.101 4.359
Ni 2.859 3.573 3.269
Ni 1.915 2.760 0.000
Ni 4.723 5.246 4.359
Ni 3.929 2.146 1.227
Ni 3.803 4.387 0.000
Ni 3.654 6.673 2.317
Ge 2.065 0.474 0.000
Ga 0.794 3.100 2.200
Ga 1.588 6.200 3.386
```

=====

First-principles (PBE) data for an optimized crystal structure of Cs12Pt3Br5, as listed in Alexandria.

Output
Symmetry: Ia-3d (230)
Formation energy from raw total energies (meV/atom): -797
Size of the total moment (μB per cell): 1.03

extended XYZ file:
```
80
Lattice="18.030 0.000 0.000 -6.010 16.999 0.000 -6.010 -8.500 14.722" Properties=species:S:1:pos:R:3 pbc="T T T"
Br -4.508 9.562 5.521
Br 10.518 -1.062 9.201
Br -3.005 -4.250 7.361
Br -6.010 4.250 7.361
Br 7.513 7.437 5.521
Br -1.503 1.062 9.201
Br 6.010 -4.250 7.361
Br 4.508 12.749 3.680
Br 6.010 8.500 0.000
Br -1.503 4.250 3.680
Br 9.015 0.000 0.000
Br 4.508 3.187 1.840
Br 1.503 -4.250 11.041
Br 1.503 5.312 12.881
Br 7.513 -5.312 12.881
Br 0.000 0.000 0.000
Br 7.513 4.250 11.041
Br -3.005 8.500 0.000
Br 3.005 4.250 7.361
Br -1.503 13.812 1.840
Cs 3.435 6.379 1.350
Cs 7.874 2.737 2.040
Cs -1.864 5.763 12.682
Cs -2.249 -0.842 6.483
Cs 6.766 7.556 11.332
Cs -3.049 4.086 9.401
Cs 10.879 -5.763 12.682
Cs 11.976 1.848 0.878
Cs 12.450 8.391 2.512
Cs 13.161 3.852 3.971
Cs -5.255 7.657 8.239
Cs 9.771 -0.943 3.390
Cs 5.255 -1.786 4.849
Cs 0.756 10.285 9.873
Cs -3.049 -6.651 13.844
Cs -6.440 0.109 12.210
Cs 12.065 -4.086 9.401
Cs 2.961 11.065 6.199
Cs -7.151 4.648 10.751
Cs -0.756 0.943 3.390
Cs 2.575 -2.230 13.560
Cs 3.049 -2.565 8.522
Cs 2.249 6.714 9.873
Cs -1.864 -4.648 10.751
Cs 8.260 9.342 8.239
Cs -0.430 6.270 1.162
Cs 7.151 -1.115 8.711
Cs 9.059 15.151 0.878
Cs 8.585 8.609 2.512
Cs 2.575 2.121 13.371
Cs -5.966 6.651 13.844
Cs -6.054 12.586 5.321
Cs -4.869 14.262 2.040
Cs 6.440 -2.121 13.371
Cs 6.440 2.230 13.560
Cs 7.874 13.147 3.971
Cs -1.141 9.615 6.010
Cs 5.966 2.565 8.522
Cs -2.575 -0.109 12.210
Cs 1.864 1.115 8.711
Cs 3.435 10.729 1.162
Cs 3.761 1.786 4.849
Cs -0.430 10.620 1.350
Cs 4.146 7.385 6.010
Cs 0.044 5.934 6.199
Cs 9.059 4.413 5.321
Cs 11.265 0.842 6.483
Cs -3.761 9.443 11.332
Pt 1.503 -1.062 5.521
Pt -1.503 7.437 9.201
Pt 4.508 0.000 11.041
Pt 4.508 9.562 9.201
Pt 10.518 5.312 1.840
Pt 13.523 0.000 3.680
Pt -7.513 8.500 11.041
Pt 7.513 1.062 5.521
Pt 10.518 11.687 1.840
Pt 1.503 8.500 3.680
Pt -4.508 -3.187 12.881
Pt -4.508 3.187 12.881
```

=====

First-principles (PBE) data for an optimized crystal structure of ErLuGe2, as listed in Alexandria.

Output
Raw total energy (eV per cell): -20.7
Symmetry: P4/mmm (123)
Size of the total moment (μB per cell): 0.00

extended XYZ file:
```
4
Lattice="3.949 0.000 0.000 0.000 4.698 0.000 0.000 0.000 4.698" Properties=species:S:1:pos:R:3 pbc="T T T"
Ge 0.000 2.349 0.000
Ge 0.000 0.000 2.349
Er 1.974 2.349 2.349
Lu 1.974 0.000 0.000
```

=====

First-principles (PBE) data for an optimized crystal structure of Er4Zn2Hg, as listed in Alexandria.

Output
Symmetry: R-3m (166)
Distance to the lowest polymorph of the same formula (kJ/mol of atoms): 0.0
Size of the total moment (μB per cell): 0.00

extended XYZ file:
```
7
Lattice="-4.090 -0.899 -2.775 -0.141 -3.993 -3.046 -4.496 -6.093 4.053" Properties=species:S:1:pos:R:3 pbc="T T T"
Hg 0.000 0.000 0.000
Zn -6.553 -8.250 -1.311
Zn -2.174 -2.735 -0.457
Er -3.293 -4.353 1.716
Er -5.434 -6.632 -3.484
Er -5.450 -7.063 1.225
Er -3.278 -3.922 -2.993
```

=====

First-principles (PBE) data for an optimized crystal structure of La3CoPb, as listed in Alexandria.

Output
Symmetry: P2_1/c (14)
Distance to the lowest polymorph of the same formula (kJ/mol of atoms): 15.9
Size of the total moment (μB per cell): 0.00

extended XYZ file:
```
20
Lattice="-5.564 24.112 8.121 -6.435 -1.397 -0.262 1.952 -9.104 0.604" Properties=species:S:1:pos:R:3 pbc="T T T"
Co -5.931 5.865 4.674
Co -4.791 15.497 8.198
Co -4.117 7.747 3.790
Co -5.257 -1.886 0.266
Pb -10.469 17.322 6.844
Pb -4.101 1.281 3.192
Pb 0.421 -3.711 1.619
Pb -5.947 12.331 5.272
La -7.153 6.802 2.500
La -1.208 -6.673 0.612
La -8.839 20.285 7.852
La -2.067 -0.907 1.561
La -6.505 0.747 1.049
La -5.949 8.764 5.507
La -3.165 10.326 4.444
La -7.980 14.519 6.903
La -3.542 12.864 7.415
La -6.883 3.286 4.020
La -2.894 6.810 5.963
La -4.098 4.847 2.956
```

=====

- Which formula does entry 4 have?
  Ga2Ni8Ge